VASP calculation (GGA+U) on an optimized crystal structure of Rb3PuCo2O8.

```
data_Rb3PuCo2O8
_symmetry_space_group_name_H-M 'P 1'
_symmetry_Int_Tables_number 1
_symmetry_space_group_name_Hall 'P 1'
_cell_length_a 5.9573
_cell_length_b 5.9573
_cell_length_c 8.1138
_cell_angle_alpha 90.00
_cell_angle_beta 90.00
_cell_angle_gamma 120.00
loop_
_atom_site_label
_atom_site_type_symbol
_atom_site_fract_x
_atom_site_fract_y
_atom_site_fract_z
O1 O 0.1641 0.8359 0.3524
O2 O 0.6717 0.8359 0.3524
O3 O 0.3283 0.1641 0.6476
O4 O 0.8359 0.1641 0.6476
O5 O 0.1641 0.3283 0.3524
O6 O 0.8359 0.6717 0.6476
O7 O 0.6667 0.3333 0.9411
O8 O 0.3333 0.6667 0.0589
Co1 Co 0.6667 0.3333 0.7300
Co2 Co 0.3333 0.6667 0.2700
Rb1 Rb 0.3333 0.6667 0.7182
Rb2 Rb 0.0000 0.0000 0.0000
Rb3 Rb 0.6667 0.3333 0.2818
Pu1 Pu 0.0000 0.0000 0.5000
```

Calculated values
space-group type = P-3m1 (164)
DFT total energy = -89.3 eV for the cell shown
crystal system = trigonal
density of states at the Fermi level = 0.334 states/eV per atom
mass density = 4.969 g/cm³
magnetization = 7.00 μB per formula unit